<i>
This record from Alexandria via LeMat-Bulk describes a crystal of SiMo2Se relaxed with PBEsol. The functional is meta-GGA SCAN. Values from VASP.

Properties
Total magnetic moment ... 0.000 μB per formula unit

```
&SYSTEM
  ibrav = 0, nat = 4, ntyp = 3
/
ATOMIC_SPECIES
Si 28.09 Si.upf
Mo 95.94 Mo.upf
Se 78.96 Se.upf
ATOMIC_POSITIONS crystal
Si 0.0000 0.0000 0.0000
Mo 0.2500 0.2500 0.2500
Mo 0.5000 0.5000 0.5000
Se 0.7500 0.7500 0.7500
CELL_PARAMETERS angstrom
0.0000 3.1113 3.1113
3.1113 0.0000 3.1113
3.1113 3.1113 0.0000
```

<ii>
This record from Alexandria via LeMat-Bulk describes a crystal of SiMo2Se relaxed with PBEsol. The functional is meta-GGA SCAN. Values from VASP.

Properties
Total magnetic moment ... 0.000 μB per formula unit

```
&SYSTEM
  ibrav = 0, nat = 4, ntyp = 3
/
ATOMIC_SPECIES
Si 28.09 Si.upf
Mo 95.94 Mo.upf
Se 78.96 Se.upf
ATOMIC_POSITIONS crystal
Si 0.0000 0.0000 0.0000
Mo 0.0000 0.5000 0.5000
Mo 0.5000 0.5000 0.0000
Se 0.5000 0.0000 0.5000
CELL_PARAMETERS angstrom
3.0976 0.0000 0.0000
0.0000 3.9625 0.0000
0.0000 0.0000 4.9694
```

Last place for stability: <i>